(1)
Here is an optimized crystal structure of Sb2Ir from the Alexandria database. Energies are from PBE. Values from VASP.

## Properties
space-group type	No. 63

The structure in Quantum ESPRESSO input format:
```
&SYSTEM
  ibrav = 0, nat = 6, ntyp = 2
/
ATOMIC_SPECIES
Sb 121.76 Sb.upf
Ir 192.22 Ir.upf
ATOMIC_POSITIONS crystal
Sb 0.110 0.634 0.750
Sb 0.366 0.890 0.750
Sb 0.634 0.110 0.250
Sb 0.890 0.366 0.250
Ir 0.300 0.700 0.250
Ir 0.700 0.300 0.750
CELL_PARAMETERS angstrom
6.413 -2.422 0.000
6.413 2.422 0.000
0.000 0.000 4.488
```

(2)
Here is an optimized crystal structure of SbIr5 from the Alexandria database. Energies are from PBE. Values from VASP.

## Properties
space-group type	No. 123

The structure in Quantum ESPRESSO input format:
```
&SYSTEM
  ibrav = 0, nat = 6, ntyp = 2
/
ATOMIC_SPECIES
Sb 121.76 Sb.upf
Ir 192.22 Ir.upf
ATOMIC_POSITIONS crystal
Sb 0.000 0.000 0.000
Ir 0.000 0.000 0.341
Ir 0.000 0.000 0.659
Ir 0.500 0.500 0.184
Ir 0.500 0.500 0.500
Ir 0.500 0.500 0.816
CELL_PARAMETERS angstrom
2.836 0.000 0.000
0.000 2.836 0.000
0.000 0.000 11.829
```

(3)
Here is an optimized crystal structure of SbIr2 from the Alexandria database. Energies are from PBE. Values from VASP.

## Properties
space-group type	No. 58

The structure in Quantum ESPRESSO input format:
```
&SYSTEM
  ibrav = 0, nat = 6, ntyp = 2
/
ATOMIC_SPECIES
Sb 121.76 Sb.upf
Ir 192.22 Ir.upf
ATOMIC_POSITIONS crystal
Sb 0.000 0.000 0.000
Sb 0.500 0.500 0.500
Ir 0.236 0.335 0.000
Ir 0.264 0.835 0.500
Ir 0.736 0.165 0.500
Ir 0.764 0.665 0.000
CELL_PARAMETERS angstrom
3.081 0.000 0.000
0.000 7.656 0.000
0.000 0.000 4.359
```

(4)
Here is an optimized crystal structure of Sb2Ir from the Alexandria database. Energies are from PBE. Values from VASP.

## Properties
space-group type	No. 141

The structure in Quantum ESPRESSO input format:
```
&SYSTEM
  ibrav = 0, nat = 6, ntyp = 2
/
ATOMIC_SPECIES
Sb 121.76 Sb.upf
Ir 192.22 Ir.upf
ATOMIC_POSITIONS crystal
Sb 0.312 0.562 0.750
Sb 0.438 0.688 0.750
Sb 0.562 0.312 0.250
Sb 0.688 0.438 0.250
Ir 0.125 0.875 0.250
Ir 0.875 0.125 0.750
CELL_PARAMETERS angstrom
-1.648 1.648 13.002
1.648 -1.648 13.002
1.648 1.648 -13.002
```

(5)
Here is an optimized crystal structure of Sb2Ir from the Alexandria database. Energies are from PBE. Values from VASP.

## Properties
space-group type	No. 62

The structure in Quantum ESPRESSO input format:
```
&SYSTEM
  ibrav = 0, nat = 12, ntyp = 2
/
ATOMIC_SPECIES
Sb 121.76 Sb.upf
Ir 192.22 Ir.upf
ATOMIC_POSITIONS crystal
Sb 0.028 0.250 0.138
Sb 0.124 0.750 0.392
Sb 0.376 0.250 0.892
Sb 0.472 0.750 0.638
Sb 0.528 0.250 0.362
Sb 0.624 0.750 0.108
Sb 0.876 0.250 0.608
Sb 0.972 0.750 0.862
Ir 0.243 0.750 0.072
Ir 0.257 0.250 0.572
Ir 0.743 0.750 0.428
Ir 0.757 0.250 0.928
CELL_PARAMETERS angstrom
7.154 0.000 0.000
0.000 4.374 0.000
0.000 0.000 8.621
```

(6)
Here is an optimized crystal structure of Sb2Ir from the Alexandria database. Energies are from PBE. Values from VASP.

## Properties
space-group type	No. 14

The structure in Quantum ESPRESSO input format:
```
&SYSTEM
  ibrav = 0, nat = 12, ntyp = 2
/
ATOMIC_SPECIES
Sb 121.76 Sb.upf
Ir 192.22 Ir.upf
ATOMIC_POSITIONS crystal
Sb 0.149 0.135 0.379
Sb 0.149 0.365 0.879
Sb 0.345 0.638 0.679
Sb 0.345 0.862 0.179
Sb 0.655 0.138 0.821
Sb 0.655 0.362 0.321
Sb 0.851 0.635 0.121
Sb 0.851 0.865 0.621
Ir 0.272 0.001 0.791
Ir 0.272 0.499 0.291
Ir 0.728 0.501 0.709
Ir 0.728 0.999 0.209
CELL_PARAMETERS angstrom
6.691 0.000 0.000
0.000 6.637 0.000
-2.867 0.000 6.161
```

(7)
Here is an optimized crystal structure of Sb3Ir from the Alexandria database. Energies are from PBE. Values from VASP.

## Properties
space-group type	No. 225
polymorph energy (0 for the lowest one)	816.0	meV per atom

The structure in Quantum ESPRESSO input format:
```
&SYSTEM
  ibrav = 0, nat = 4, ntyp = 2
/
ATOMIC_SPECIES
Sb 121.76 Sb.upf
Ir 192.22 Ir.upf
ATOMIC_POSITIONS crystal
Sb 0.000 0.000 0.000
Sb 0.250 0.250 0.250
Sb 0.750 0.750 0.750
Ir 0.500 0.500 0.500
CELL_PARAMETERS angstrom
0.000 3.555 3.555
3.555 0.000 3.555
3.555 3.555 0.000
```

(8)
Here is an optimized crystal structure of SbIr5 from the Alexandria database. Energies are from PBE. Values from VASP.

## Properties
space-group type	No. 216

The structure in Quantum ESPRESSO input format:
```
&SYSTEM
  ibrav = 0, nat = 6, ntyp = 2
/
ATOMIC_SPECIES
Sb 121.76 Sb.upf
Ir 192.22 Ir.upf
ATOMIC_POSITIONS crystal
Sb 0.000 0.000 0.000
Ir 0.128 0.624 0.624
Ir 0.250 0.250 0.250
Ir 0.624 0.128 0.624
Ir 0.624 0.624 0.128
Ir 0.624 0.624 0.624
CELL_PARAMETERS angstrom
0.000 3.705 3.705
3.705 0.000 3.705
3.705 3.705 0.000
```

| no. | VASP energy (eV per cell) |
| --- | --- |
| 1 | -34.30 |
| 2 | -46.67 |
| 3 | -41.67 |
| 4 | -34.02 |
| 5 | -69.20 |
| 6 | -72.94 |
| 7 | -19.35 |
| 8 | -44.20 |